Entry a
Here is a PBEsol-optimized structure of CaMnOs2 from the Alexandria database. Energies are from SCAN.

a = 2.825 Å, b = 2.825 Å, c = 8.426 Å
α = 90.00°, β = 90.00°, γ = 90.00°
Space group P4mm (No. 99)
Asymmetric unit:
Ca (0.000, 0.000, 0.000) x1
Mn (0.500, 0.500, 0.315) x1
Os (0.000, 0.000, 0.527) x1
Os (0.500, 0.500, 0.725) x1

Properties
density of states at the Fermi level: 0.54 states/eV/atom

Entry b
Here is a PBEsol-optimized structure of CaMnOs2 from the Alexandria database. Energies are from SCAN.

a = 2.816 Å, b = 2.816 Å, c = 7.815 Å
α = 90.00°, β = 90.00°, γ = 90.00°
Space group P4/mmm (No. 123)
Asymmetric unit:
Ca (0.000, 0.000, 0.000) x1
Mn (0.000, 0.000, 0.500) x1
Os (0.500, 0.500, 0.302) x2

Properties
density of states at the Fermi level: 0.84 states/eV/atom

Most stable to least stable, the ends of the list are entry a and entry b.

Entry a
Here is a PBEsol-optimized structure of CaMn2Tl from the Alexandria database. Energies are from SCAN.

a = 3.557 Å, b = 3.557 Å, c = 6.623 Å
α = 90.00°, β = 90.00°, γ = 90.00°
Space group P4/mmm (No. 123)
Asymmetric unit:
Ca (0.000, 0.000, 0.000) x1
Mn (0.500, 0.500, 0.292) x2
Tl (0.000, 0.000, 0.500) x1

Properties
density of states at the Fermi level: 1.02 states/eV/atom

Entry b
Here is a PBEsol-optimized structure of CaMn2Tl from the Alexandria database. Energies are from SCAN.

a = 3.175 Å, b = 3.175 Å, c = 7.583 Å
α = 90.00°, β = 90.00°, γ = 90.00°
Space group P4mm (No. 99)
Asymmetric unit:
Ca (0.000, 0.000, 0.000) x1
Mn (0.000, 0.000, 0.420) x1
Mn (0.500, 0.500, 0.304) x1
Tl (0.500, 0.500, 0.682) x1

Properties
density of states at the Fermi level: 0.57 states/eV/atom

Most stable to least stable, the ends of the list are entry b and entry a.

Entry a
Here is a PBEsol-optimized structure of CaMnW2 from the Alexandria database. Energies are from SCAN.

a = 2.970 Å, b = 4.620 Å, c = 9.474 Å
α = 90.00°, β = 90.00°, γ = 90.00°
Space group Immm (No. 71)
Asymmetric unit:
Ca (0.000, 0.000, 0.000) x2
Mn (0.000, 0.000, 0.500) x2
W (0.000, 0.500, 0.224) x4

Properties
density of states at the Fermi level: 0.61 states/eV/atom

Entry b
Here is a PBEsol-optimized structure of CaMnW2 from the Alexandria database. Energies are from SCAN.

a = 2.989 Å, b = 4.814 Å, c = 9.060 Å
α = 90.00°, β = 90.00°, γ = 90.00°
Space group Imm2 (No. 44)
Asymmetric unit:
Ca (0.000, 0.000, 0.000) x2
Mn (0.000, 0.500, 0.240) x2
W (0.000, 0.000, 0.538) x2
W (0.000, 0.500, 0.781) x2

Properties
density of states at the Fermi level: 0.70 states/eV/atom

Entry c
Here is a PBEsol-optimized structure of CaMnW2 from the Alexandria database. Energies are from SCAN.

a = 6.436 Å, b = 6.436 Å, c = 6.436 Å
α = 90.00°, β = 90.00°, γ = 90.00°
Space group F-43m (No. 216)
Asymmetric unit:
Ca (0.000, 0.000, 0.000) x4
Mn (0.250, 0.250, 0.250) x4
W (0.000, 0.000, 0.500) x4
W (0.250, 0.250, 0.750) x4

Properties
density of states at the Fermi level: 0.46 states/eV/atom

Most stable to least stable, the ends of the list are entry c and entry b.

Entry a
Here is a PBEsol-optimized structure of Ca2MnW from the Alexandria database. Energies are from SCAN.

a = 7.145 Å, b = 7.145 Å, c = 7.145 Å
α = 90.00°, β = 90.00°, γ = 90.00°
Space group Fm-3m (No. 225)
Asymmetric unit:
Ca (0.250, 0.250, 0.250) x8
Mn (0.000, 0.000, 0.000) x4
W (0.000, 0.000, 0.500) x4

Properties
density of states at the Fermi level: 0.29 states/eV/atom

Entry b
Here is a PBEsol-optimized structure of Ca2MnW from the Alexandria database. Energies are from SCAN.

a = 3.339 Å, b = 5.266 Å, c = 9.867 Å
α = 90.00°, β = 90.00°, γ = 90.00°
Space group Imm2 (No. 44)
Asymmetric unit:
Ca (0.000, 0.000, 0.000) x2
Ca (0.000, 0.500, 0.205) x2
Mn (0.000, 0.500, 0.761) x2
W (0.000, 0.000, 0.411) x2

Properties
density of states at the Fermi level: 0.72 states/eV/atom

Most stable to least stable, the ends of the list are entry b and entry a.

Entry a
Here is a PBEsol-optimized structure of CaYMn from the Alexandria database. Energies are from SCAN.

a = 6.977 Å, b = 6.977 Å, c = 6.977 Å
α = 90.00°, β = 90.00°, γ = 90.00°
Space group F-43m (No. 216)
Asymmetric unit:
Ca (0.000, 0.000, 0.000) x4
Y (0.000, 0.000, 0.500) x4
Mn (0.250, 0.250, 0.250) x4

Properties
density of states at the Fermi level: 1.29 states/eV/atom

Entry b
Here is a PBEsol-optimized structure of CaYMn from the Alexandria database. Energies are from SCAN.

a = 3.495 Å, b = 3.495 Å, c = 12.964 Å
α = 90.00°, β = 90.00°, γ = 90.00°
Space group I4mm (No. 107)
Asymmetric unit:
Ca (0.000, 0.000, 0.000) x2
Y (0.000, 0.000, 0.726) x2
Mn (0.000, 0.000, 0.349) x2

Properties
density of states at the Fermi level: 0.89 states/eV/atom

Most stable to least stable, the ends of the list are entry b and entry a.

Entry a
Here is a PBEsol-optimized structure of CaMo from the Alexandria database. Energies are from SCAN.

a = 3.404 Å, b = 5.414 Å, c = 10.051 Å
α = 90.00°, β = 90.00°, γ = 90.00°
Space group Imma (No. 74)
Asymmetric unit:
Ca (0.000, 0.250, 0.104) x4
Mo (0.000, 0.250, 0.670) x4

Properties
density of states at the Fermi level: 0.69 states/eV/atom

Entry b
Here is a PBEsol-optimized structure of CaMo from the Alexandria database. Energies are from SCAN.

a = 3.884 Å, b = 3.924 Å, c = 5.143 Å
α = 90.00°, β = 90.00°, γ = 90.00°
Space group Cmmm (No. 65)
Asymmetric unit:
Ca (0.000, 0.000, 0.000) x2
Mo (0.000, 0.500, 0.500) x2

Properties
density of states at the Fermi level: 0.70 states/eV/atom

Entry c
Here is a PBEsol-optimized structure of CaMo from the Alexandria database. Energies are from SCAN.

a = 3.409 Å, b = 5.218 Å, c = 10.189 Å
α = 90.00°, β = 90.00°, γ = 90.00°
Space group Cmme (No. 67)
Asymmetric unit:
Ca (0.000, 0.250, 0.165) x4
Mo (0.000, 0.250, 0.585) x4

Properties
density of states at the Fermi level: 1.02 states/eV/atom

Most stable to least stable, the ends of the list are entry a and entry b.

Entry a
Here is a PBEsol-optimized structure of Ca2NiMo from the Alexandria database. Energies are from SCAN.

a = 6.965 Å, b = 6.965 Å, c = 6.965 Å
α = 90.00°, β = 90.00°, γ = 90.00°
Space group Fm-3m (No. 225)
Asymmetric unit:
Ca (0.250, 0.250, 0.250) x8
Ni (0.000, 0.000, 0.000) x4
Mo (0.000, 0.000, 0.500) x4

Properties
density of states at the Fermi level: 0.55 states/eV/atom

Entry b
Here is a PBEsol-optimized structure of Ca2NiMo from the Alexandria database. Energies are from SCAN.

a = 3.154 Å, b = 3.154 Å, c = 8.802 Å
α = 90.00°, β = 90.00°, γ = 90.00°
Space group P4mm (No. 99)
Asymmetric unit:
Ca (0.000, 0.000, 0.000) x1
Ca (0.500, 0.500, 0.385) x1
Ni (0.000, 0.000, 0.618) x1
Mo (0.500, 0.500, 0.744) x1

Properties
density of states at the Fermi level: 0.71 states/eV/atom

Most stable to least stable, the ends of the list are entry b and entry a.

Entry a
Here is a PBEsol-optimized structure of CaMo2Os from the Alexandria database. Energies are from SCAN.

a = 3.825 Å, b = 3.825 Å, c = 4.584 Å
α = 90.00°, β = 90.00°, γ = 90.00°
Space group P4/mmm (No. 123)
Asymmetric unit:
Ca (0.000, 0.000, 0.000) x1
Mo (0.000, 0.500, 0.500) x2
Os (0.500, 0.500, 0.000) x1

Properties
density of states at the Fermi level: 0.78 states/eV/atom

Entry b
Here is a PBEsol-optimized structure of CaMo2Os from the Alexandria database. Energies are from SCAN.

a = 3.094 Å, b = 4.769 Å, c = 9.056 Å
α = 90.00°, β = 90.00°, γ = 90.00°
Space group Imm2 (No. 44)
Asymmetric unit:
Ca (0.000, 0.000, 0.000) x2
Mo (0.000, 0.000, 0.495) x2
Mo (0.000, 0.500, 0.772) x2
Os (0.000, 0.500, 0.231) x2

Properties
density of states at the Fermi level: 0.71 states/eV/atom

Most stable to least stable, the ends of the list are entry b and entry a.